Density functional theory data (PBE) for crystalline LiAlH3 at its relaxed geometry.

Unit cell a=3.691 b=3.691 c=3.691 alpha=90.00 beta=90.00 gamma=90.00
Sites, in units of the cell vectors:
H  0.000  0.500  0.000
H  0.000  0.000  0.500
H  0.500  0.000  0.000
Al  0.000  0.000  0.000
Li  0.500  0.500  0.500

## Properties
Total DFT energy (no corrections): -3.064 eV per atom
Excess energy over the best structure of this formula in the dataset: 0.143 eV/atom
Space group: Pm-3m (221)


Density functional theory data (PBE) for crystalline CaY3 at its relaxed geometry.

Unit cell a=3.635 b=3.635 c=10.436 alpha=90.00 beta=90.00 gamma=90.00
Sites, in units of the cell vectors:
Y  0.500  0.500  0.732
Y  0.000  0.000  0.500
Y  0.500  0.500  0.268
Ca  0.000  0.000  0.000

## Properties
Total DFT energy (no corrections): -5.279 eV per atom
ΔE_f: 70 meV per atom
Space group: P4/mmm (123)


Density functional theory data (PBE) for crystalline ScInSn2Cl8 at its relaxed geometry.

Unit cell a=6.876 b=6.328 c=8.777 alpha=90.31 beta=85.00 gamma=87.29
Sites, in units of the cell vectors:
Sc  0.000  0.000  0.000
In  0.000  0.000  0.500
Sn  0.471  0.491  0.757
Sn  0.529  0.509  0.243
Cl  0.168  0.789  0.192
Cl  0.700  0.780  0.039
Cl  0.870  0.253  0.215
Cl  0.832  0.211  0.808
Cl  0.300  0.220  0.961
Cl  0.130  0.747  0.785
Cl  0.637  0.722  0.468
Cl  0.363  0.278  0.532

## Properties
Total DFT energy (no corrections): -3.974 eV per atom
Formation energy without anion corrections: -1.320 eV/atom
Space group: P-1 (2)